# YSb4Mo

A relaxed YSb4Mo crystal (GGA-PBE, the Alexandria database).

Unit cell a=6.1577 b=6.1577 c=6.1577 alpha=60.00 beta=60.00 gamma=60.00
Closest atoms and distances in Å follow each position.
Fractional positions:
Mo  0.0000  0.0000  0.0000  12 Sb 3.61, 4 Y 3.77
Sb  0.8758  0.3747  0.3747  6 Sb 3.07-3.09
Sb  0.3747  0.8758  0.3747  6 Sb 3.07-3.09
Sb  0.3747  0.3747  0.3747  6 Sb 3.07-3.09
Sb  0.3747  0.3747  0.8758  6 Sb 3.07-3.09
Y  0.7500  0.7500  0.7500  12 Sb 3.61, 4 Mo 3.77

The value obtained for the size of the total moment is 3.65 μB per formula unit. The symmetry is F-43m. The value obtained for the total DFT energy (no corrections) is -30.35 eV for the cell shown.



# NdSc2I6

A relaxed NdSc2I6 crystal (GGA-PBE, the Alexandria database).

Unit cell a=4.1024 b=8.7183 c=11.3529 alpha=115.99 beta=90.00 gamma=103.61
Closest atoms and distances in Å follow each position.
Fractional positions:
Sc  0.6532  0.3065  0.8097  6 I 2.90-3.08
I  0.3438  0.6876  0.4435  1 Sc 2.90, 2 Nd 3.18
Nd  0.0000  0.0000  0.5000  6 I 3.17-3.18
I  0.0240  0.0480  0.7940  2 Sc 2.95, 1 Nd 3.17
I  0.2968  0.5937  0.8938  3 Sc 2.99-3.08
I  0.9760  0.9520  0.2060  2 Sc 2.95, 1 Nd 3.17
Sc  0.3467  0.6935  0.1903  6 I 2.90-3.08
I  0.6562  0.3124  0.5565  1 Sc 2.90, 2 Nd 3.18
I  0.7031  0.4063  0.1062  3 Sc 2.99-3.08

The value obtained for the size of the total moment is 0.00 μB per formula unit. The symmetry is C2/m. The value obtained for the total DFT energy (no corrections) is -37.26 eV for the cell shown.



# SrNd14Y

A relaxed SrNd14Y crystal (GGA-PBE, the Alexandria database).

Unit cell a=7.4234 b=7.4234 c=10.3972 alpha=90.00 beta=90.00 gamma=90.00
Closest atoms and distances in Å follow each position.
Fractional positions:
Nd  0.1308  0.6192  0.2460  10 Nd 3.62-3.80, 1 Y 3.68, 1 Sr 3.77
Nd  0.6192  0.1308  0.7540  10 Nd 3.62-3.80, 1 Y 3.68, 1 Sr 3.77
Nd  0.6191  0.6191  0.7539  10 Nd 3.62-3.80, 1 Y 3.68, 1 Sr 3.77
Nd  0.3750  0.3750  0.0000  12 Nd 3.62-3.71
Sr  0.8750  0.8750  0.5000  12 Nd 3.71-3.77
Nd  0.1308  0.6192  0.7540  10 Nd 3.62-3.80, 1 Y 3.68, 1 Sr 3.77
Nd  0.1309  0.1309  0.7539  10 Nd 3.62-3.80, 1 Y 3.68, 1 Sr 3.77
Nd  0.6191  0.6191  0.2461  10 Nd 3.62-3.80, 1 Y 3.68, 1 Sr 3.77
Nd  0.6192  0.1308  0.2460  10 Nd 3.62-3.80, 1 Y 3.68, 1 Sr 3.77
Y  0.3750  0.3750  0.5000  12 Nd 3.68-3.71
Nd  0.8750  0.8750  0.0000  12 Nd 3.71
Nd  0.3750  0.8750  0.0000  12 Nd 3.67-3.71
Nd  0.3750  0.8750  0.5000  2 Y 3.71, 2 Sr 3.71, 8 Nd 3.72
Nd  0.8750  0.3750  0.5000  2 Y 3.71, 2 Sr 3.71, 8 Nd 3.72
Nd  0.8750  0.3750  0.0000  12 Nd 3.67-3.71
Nd  0.1309  0.1309  0.2461  10 Nd 3.62-3.80, 1 Y 3.68, 1 Sr 3.77

The formation enthalpy at 0 K is 0.044 eV/atom. The value obtained for the size of the total moment is 0.00 μB per formula unit. The symmetry is P4/mmm.



# KAc2Pr

A relaxed KAc2Pr crystal (GGA-PBE, the Alexandria database).

Unit cell a=3.9214 b=3.9214 c=14.2835 alpha=82.11 beta=82.11 gamma=60.00
Closest atoms and distances in Å follow each position.
Fractional positions:
K  0.0000  0.0000  0.0000  6 K 3.92, 2 Ac 4.00
Pr  0.5000  0.5000  0.5000  6 Ac 3.80, 6 Pr 3.92
Ac  0.9054  0.9054  0.2837  3 Pr 3.80, 6 Ac 3.92, 1 K 4.00
Ac  0.0946  0.0946  0.7163  3 Pr 3.80, 6 Ac 3.92, 1 K 4.00

The formation enthalpy at 0 K is 0.148 eV/atom. The value obtained for the size of the total moment is 0.00 μB per formula unit. The symmetry is R-3m.



# Li3Y3AlS8

A relaxed Li3Y3AlS8 crystal (GGA-PBE, the Alexandria database).

Unit cell a=7.7271 b=7.7272 c=7.5218 alpha=120.92 beta=90.00 gamma=120.00
Closest atoms and distances in Å follow each position.
Fractional positions:
Y  0.5000  0.5000  0.5000  6 S 2.71-2.74
S  0.2481  0.4963  0.2445  3 Li 2.68, 3 Y 2.71
Li  0.0000  0.0000  0.0000  6 S 2.67-2.68
Al  0.0000  0.0000  0.5000  6 S 2.48
Li  0.5000  0.5000  0.0000  6 S 2.67-2.68
S  0.7702  0.9944  0.2646  1 Al 2.48, 2 Li 2.67, 2 Y 2.74
Y  0.0000  0.5000  0.5000  6 S 2.71-2.74
S  0.7519  0.5037  0.7555  3 Li 2.68, 3 Y 2.71
Y  0.5000  0.0000  0.5000  6 S 2.71-2.74
S  0.7758  0.0056  0.7354  1 Al 2.48, 2 Li 2.67, 2 Y 2.74
S  0.2242  0.9944  0.2646  1 Al 2.48, 2 Li 2.67, 2 Y 2.74
S  0.2299  0.4598  0.7354  1 Al 2.48, 2 Li 2.67, 2 Y 2.74
Li  0.0000  0.5000  0.0000  6 S 2.67-2.68
S  0.2298  0.0056  0.7354  1 Al 2.48, 2 Li 2.67, 2 Y 2.74
S  0.7701  0.5402  0.2646  1 Al 2.48, 2 Li 2.67, 2 Y 2.74

The value obtained for the size of the total moment is 0.00 μB per formula unit. The symmetry is R-3m. The value obtained for the total DFT energy (no corrections) is -85.37 eV for the cell shown.



# SbW2Au

A relaxed SbW2Au crystal (GGA-PBE, the Alexandria database).

Unit cell a=2.8986 b=2.8986 c=9.7025 alpha=90.00 beta=90.00 gamma=108.68
Closest atoms and distances in Å follow each position.
Fractional positions:
W  0.5000  0.5000  0.2325  6 W 2.63-2.90, 2 Au 2.83
Sb  0.5000  0.5000  0.7765  4 Sb 2.90, 2 W 2.94
W  0.0000  0.0000  0.0244  6 W 2.63-2.90, 2 Sb 2.94
Au  0.0000  0.0000  0.4667  2 W 2.83, 4 Au 2.90

The value obtained for the size of the total moment is 0.00 μB per formula unit. The symmetry is Cmm2. The value obtained for the total DFT energy (no corrections) is -31.44 eV for the cell shown.